LiVP3HO10: relaxed, PBE+U.

N(E_F) = 0.00 states/eV per cell
Space-group type = C2/c (15)
Energy above the lowest structure with this stoichiometry = 14 meV/atom
Raw total energy = -6.989 eV/atom
Spin magnetization = 4.00 μB/cell

Cell and atoms, written as POSCAR:
```
LiVP3HO10
1.0
6.1529 -4.2864 0.0000
6.1529 4.2864 0.0000
-3.6693 0.0000 8.7009
Li V P H O
2 2 6 2 20
Direct
0.2360 0.7640 0.7500 Li
0.7640 0.2360 0.2500 Li
0.0000 0.5000 0.0000 V
0.5000 0.0000 0.5000 V
0.2206 0.3628 0.7010 P
0.3628 0.2206 0.2010 P
0.3777 0.6223 0.2500 P
0.6223 0.3777 0.7500 P
0.6372 0.7794 0.7990 P
0.7794 0.6372 0.2990 P
0.0000 0.5000 0.5000 H
0.5000 0.0000 0.0000 H
0.1130 0.3710 0.8138 O
0.1214 0.5362 0.6189 O
0.1640 0.2657 0.0913 O
0.2166 0.6375 0.1077 O
0.2657 0.1640 0.5913 O
0.3625 0.7834 0.3923 O
0.3710 0.1130 0.3138 O
0.4159 0.4254 0.3039 O
0.4254 0.4159 0.8039 O
0.4638 0.8786 0.8811 O
0.5362 0.1214 0.1189 O
0.5746 0.5841 0.1961 O
0.5841 0.5746 0.6961 O
0.6290 0.8870 0.6862 O
0.6375 0.2166 0.6077 O
0.7343 0.8360 0.4087 O
0.7834 0.3625 0.8923 O
0.8360 0.7343 0.9087 O
0.8786 0.4638 0.3811 O
0.8870 0.6290 0.1862 O
```